Li2Be2NiO4: optimized geometry, GGA+U.

Summary:
Its crystal system is monoclinic. The total energy is -5.723 eV per atom. The size of the total moment comes out at 0.0040 μB/atom.

Cell: 9.5898 2.7103 7.3096 Å, 90.00 114.98 90.00°
Last column: nearest neighbours and their distance in Å.
Space group C2/m (No. 12)
Inequivalent atoms, fractional coordinates:
Li 0.0941 0.0000 0.2109 [4 per cell]  4 O 2.03-2.04
Be 0.1895 0.5000 0.8706 [4 per cell]  4 O 1.62-1.71
Ni 0.0000 0.0000 0.5000 [2 per cell]  4 O 1.91
O 0.0171 0.5000 0.6919 [4 per cell]  1 Be 1.62
O 0.2069 0.5000 0.1136 [4 per cell]  3 Be 1.66-1.71